No. 1
Below is CsTi3Br after structural relaxation, with properties calculated at the PBE level.

**Distance to the lowest polymorph of the same formula**: 97.0 kJ per mole of atoms
**Energy**: -0.117 hartree per atom
**Magnetic moment**: 2.3 Bohr magnetons per cell

Unit cell a=5.084 b=5.084 c=5.084 alpha=90.00 beta=90.00 gamma=90.00
Atoms (fractional coordinates):
Cs 0.000 0.000 0.000
Ti 0.000 0.000 0.500
Ti 0.000 0.500 0.000
Ti 0.500 0.000 0.000
Br 0.500 0.500 0.500


No. 2
Below is ZrPaAg after structural relaxation, with properties calculated at the PBE level.

**Energy of formation from the pure elements**: 0.08 eV/f.u.
**Distance to the lowest polymorph of the same formula**: 5.5 kJ per mole of atoms
**Energy**: -0.255 hartree per atom
**Magnetic moment**: 0.0 Bohr magnetons per cell

Unit cell a=7.415 b=7.415 c=7.415 alpha=156.09 beta=156.09 gamma=34.06
Atoms (fractional coordinates):
Zr 0.000 0.000 0.000
Pa 0.672 0.672 0.000
Ag 0.345 0.345 0.000


No. 3
Below is Li6CdSi after structural relaxation, with properties calculated at the PBE level.

**Distance to the lowest polymorph of the same formula**: 0.0 kJ per mole of atoms
**Energy**: -0.089 hartree per atom
**Magnetic moment**: 0.0 Bohr magnetons per cell

Unit cell a=4.447 b=6.585 c=4.445 alpha=90.00 beta=90.00 gamma=90.00
Atoms (fractional coordinates):
Li 0.000 0.000 0.000
Li 0.000 0.222 0.499
Li 0.000 0.778 0.499
Li 0.500 0.222 0.998
Li 0.500 0.500 0.498
Li 0.500 0.778 0.998
Cd 0.000 0.500 0.999
Si 0.500 0.000 0.498


No. 4
Below is Ba2NaSr6Pt after structural relaxation, with properties calculated at the PBE level.

**Energy of formation from the pure elements**: -1.67 eV/f.u.
**Energy**: -0.084 hartree per atom
**Magnetic moment**: 0.0 Bohr magnetons per cell

Unit cell a=9.082 b=9.082 c=9.073 alpha=119.92 beta=119.92 gamma=90.10
Atoms (fractional coordinates):
Ba 0.250 0.750 0.000
Ba 0.750 0.250 0.000
Na 0.000 0.000 0.500
Sr 0.269 0.269 0.038
Sr 0.269 0.269 0.500
Sr 0.269 0.731 0.500
Sr 0.731 0.269 0.500
Sr 0.731 0.731 0.500
Sr 0.731 0.731 0.962
Pt 0.500 0.500 0.500


No. 5
Below is NaCu4Si2 after structural relaxation, with properties calculated at the PBE level.

**Energy**: -0.151 hartree per atom
**Magnetic moment**: 0.0 Bohr magnetons per cell

Unit cell a=7.243 b=7.243 c=3.853 alpha=90.00 beta=90.00 gamma=90.00
Atoms (fractional coordinates):
Na 0.000 0.000 0.000
Na 0.500 0.500 0.500
Cu 0.089 0.342 0.500
Cu 0.158 0.589 0.000
Cu 0.342 0.089 0.500
Cu 0.411 0.842 0.000
Cu 0.589 0.158 0.000
Cu 0.658 0.911 0.500
Cu 0.842 0.411 0.000
Cu 0.911 0.658 0.500
Si 0.221 0.779 0.500
Si 0.279 0.279 0.000
Si 0.721 0.721 0.000
Si 0.779 0.221 0.500


No. 6
Below is AlTe3 after structural relaxation, with properties calculated at the PBE level.

**Energy**: -0.115 hartree per atom
**Magnetic moment**: 0.0 Bohr magnetons per cell

Unit cell a=3.277 b=3.277 c=11.158 alpha=90.00 beta=90.00 gamma=108.38
Atoms (fractional coordinates):
Al 0.000 0.000 0.000
Te 0.000 0.000 0.500
Te 0.500 0.500 0.186
Te 0.500 0.500 0.814